A geometry-optimized CuAgF3 structure. Source: Alexandria, functional GGA-PBE.

Results
**Size of the total moment**: 0.00 μB/f.u.
**Crystal system**: monoclinic
**Mass density**: 5.5 g cm⁻³
**VASP energy**: -0.275 Ry/atom
**E above lowest polymorph**: 0.0769 eV per atom
**Energy relative to the elements, uncorrected**: -6.2 eV per formula unit

Cell and atoms, written as CIF:
```
data_CuAgF3
_chemical_formula_sum 'Cu8 Ag8 F24'
_cell_length_a 11.468
_cell_length_b 8.575
_cell_length_c 5.712
_cell_angle_alpha 90.00
_cell_angle_beta 99.96
_cell_angle_gamma 90.00
_space_group_name_H-M_alt 'C 1 2/c 1'
_space_group_IT_number 15
_space_group_name_Hall '-C 2yc'
loop_
_atom_site_label
_atom_site_fract_x
_atom_site_fract_y
_atom_site_fract_z
_atom_site_occupancy
Cu1 0.159 0.156 0.313 1
Ag1 0.000 0.160 0.750 1
Ag2 0.000 0.498 0.750 1
F1 0.116 0.310 0.075 1
F2 0.144 0.313 0.550 1
F3 0.153 0.003 0.060 1
```

A geometry-optimized Dy2CuO structure. Source: Alexandria, functional GGA-PBE.

Results
**Size of the total moment**: 0.00 μB/f.u.
**Crystal system**: trigonal
**Mass density**: 8.1 g cm⁻³
**VASP energy**: -0.403 Ry/atom
**Energy relative to the elements, uncorrected**: -3.7 eV per formula unit

Cell and atoms, written as CIF:
```
data_Dy2CuO
_chemical_formula_sum 'Dy6 Cu3 O3'
_cell_length_a 3.3952
_cell_length_b 3.3952
_cell_length_c 24.8310
_cell_angle_alpha 90.00
_cell_angle_beta 90.00
_cell_angle_gamma 120.00
_space_group_name_H-M_alt 'R -3 m'
_space_group_IT_number 166
_space_group_name_Hall '-R 3 2"'
loop_
_atom_site_label
_atom_site_fract_x
_atom_site_fract_y
_atom_site_fract_z
_atom_site_occupancy
Dy1 0.0000 0.0000 0.1114 1
Cu1 0.0000 0.0000 0.0000 1
O1 0.0000 0.0000 0.5000 1
```

A geometry-optimized LiCaRuAu2 structure. Source: Alexandria, functional GGA-PBE.

Results
**Size of the total moment**: 1.30 μB/f.u.
**Crystal system**: tetragonal
**Mass density**: 6.4 g cm⁻³
**Formation enthalpy at 0 K**: 0.95 eV per atom
**VASP energy**: -0.221 Ry/atom
**E above lowest polymorph**: 0.8311 eV per atom

Cell and atoms, written as CIF:
```
data_LiCaRuAu2
_chemical_formula_sum 'Li1 Ca1 Ru1 Au2'
_cell_length_a 5.386
_cell_length_b 5.386
_cell_length_c 4.837
_cell_angle_alpha 90.00
_cell_angle_beta 90.00
_cell_angle_gamma 90.00
_space_group_name_H-M_alt 'P 4/m m m'
_space_group_IT_number 123
_space_group_name_Hall '-P 4 2'
loop_
_atom_site_label
_atom_site_fract_x
_atom_site_fract_y
_atom_site_fract_z
_atom_site_occupancy
Li1 0.000 0.000 0.000 1
Ca1 0.500 0.500 0.500 1
Ru1 0.500 0.500 0.000 1
Au1 0.000 0.500 0.500 1
```

Among the records above, which one has the highest VASP energy?
LiCaRuAu2

VASP energy of number 3 (LiCaRuAu2)?
-0.221 Ry/atom

Repeat the second record exactly.
A geometry-optimized Dy2CuO structure. Source: Alexandria, functional GGA-PBE.

Results
**Size of the total moment**: 0.00 μB/f.u.
**Crystal system**: trigonal
**Mass density**: 8.1 g cm⁻³
**VASP energy**: -0.403 Ry/atom
**Energy relative to the elements, uncorrected**: -3.7 eV per formula unit

Cell and atoms, written as CIF:
```
data_Dy2CuO
_chemical_formula_sum 'Dy6 Cu3 O3'
_cell_length_a 3.3952
_cell_length_b 3.3952
_cell_length_c 24.8310
_cell_angle_alpha 90.00
_cell_angle_beta 90.00
_cell_angle_gamma 120.00
_space_group_name_H-M_alt 'R -3 m'
_space_group_IT_number 166
_space_group_name_Hall '-R 3 2"'
loop_
_atom_site_label
_atom_site_fract_x
_atom_site_fract_y
_atom_site_fract_z
_atom_site_occupancy
Dy1 0.0000 0.0000 0.1114 1
Cu1 0.0000 0.0000 0.0000 1
O1 0.0000 0.0000 0.5000 1
```